Record 1
Na2CoPb2 | PBE-GGA | relaxed

```
Na2CoPb2
1.0
6.9848 0.0000 0.0000
0.0000 6.9848 0.0000
0.0000 0.0000 5.3815
Pb Na Co
4 4 2
direct
0.3347 0.8347 0.0000
0.8347 0.6653 0.0000
0.6653 0.1653 0.0000
0.1653 0.3347 0.0000
0.1688 0.6688 0.5000
0.6688 0.8312 0.5000
0.8312 0.3312 0.5000
0.3312 0.1688 0.5000
0.0000 0.0000 0.0000
0.5000 0.5000 0.0000
```

Properties
Its formation energy from the elements is 197 meV/atom.

---

Record 2
Ca2LaPaBi4 | PBE-GGA | relaxed

```
Ca2LaPaBi4
1.0
-3.6830 2.6391 -1.0149
-0.9041 -3.9353 -6.9523
-4.1489 -3.6167 5.6511
Ca La Pa Bi
2 1 1 4
direct
0.5000 0.0000 0.5000
0.0000 0.5000 0.5000
0.5000 0.5000 0.0000
0.0000 0.0000 0.0000
0.5000 0.2340 0.2375
0.5000 0.7660 0.7625
0.0000 0.2380 0.7572
0.0000 0.7620 0.2428
```

Properties
Its formation energy from the elements is -697 meV/atom.